Crystalline MnAlB2Pb at its relaxed geometry. Source: Alexandria, functional PBE.

Cell lengths 4.006, 4.006, 5.146 Å; angles 90.00, 90.00, 90.00 degrees
Sites, in units of the cell vectors:
Mn: 0.000 0.000 0.000
Al: 0.500 0.500 0.500
B: 0.000 0.500 0.000
B: 0.500 0.000 0.000
Pb: 0.000 0.000 0.500

Computed properties:
The symmetry is P4/mmm (123). The value obtained for the formation energy is 5.05 eV per formula unit. The calculation puts the total energy at -4.985 eV/atom.

---

Crystalline MnAlReB2 at its relaxed geometry. Source: Alexandria, functional PBE.

Cell lengths 3.769, 3.769, 4.283 Å; angles 90.00, 90.00, 90.00 degrees
Sites, in units of the cell vectors:
Mn: 0.000 0.000 0.000
Al: 0.000 0.000 0.500
Re: 0.500 0.500 0.500
B: 0.000 0.500 0.000
B: 0.500 0.000 0.000

Computed properties:
The symmetry is P4/mmm (123). The value obtained for the formation energy is 6.22 eV per formula unit. The calculation puts the total energy at -6.500 eV/atom.

---

Copy entry 2 word for word.
Crystalline MnAlReB2 at its relaxed geometry. Source: Alexandria, functional PBE.

Cell lengths 3.769, 3.769, 4.283 Å; angles 90.00, 90.00, 90.00 degrees
Sites, in units of the cell vectors:
Mn: 0.000 0.000 0.000
Al: 0.000 0.000 0.500
Re: 0.500 0.500 0.500
B: 0.000 0.500 0.000
B: 0.500 0.000 0.000

Computed properties:
The symmetry is P4/mmm (123). The value obtained for the formation energy is 6.22 eV per formula unit. The calculation puts the total energy at -6.500 eV/atom.